# Li2Pr2SmPb2

A relaxed Li2Pr2SmPb2 crystal (PBE, Alexandria).

```
data_Li2Pr2SmPb2
_chemical_formula_sum 'Li6 Pr6 Sm3 Pb6'
_symmetry_space_group_name_H-M 'R -3 m'
_symmetry_Int_Tables_number 166
_symmetry_space_group_name_Hall '-R 3 2"'
_cell_length_a 4.8939
_cell_length_b 4.8939
_cell_length_c 28.1272
_cell_angle_alpha 90.00
_cell_angle_beta 90.00
_cell_angle_gamma 120.00
loop_
_atom_site_label
_atom_site_type_symbol
_atom_site_fract_x
_atom_site_fract_y
_atom_site_fract_z
Li1 Li 0.0000 0.0000 0.1014
Pr1 Pr 0.0000 0.0000 0.3713
Sm1 Sm 0.0000 0.0000 0.5000
Pb1 Pb 0.0000 0.0000 0.2333
```

Values from the calculation:
Energy of formation in eV/atom: -0.35
Spin magnetization in μB per atom: 0.00
Final energy in eV per cell: -83.94
Density of states at the Fermi level in states/eV per cell: 14.73